Entry from the Alexandria database: a relaxed KInPbAu crystal (GGA-PBE).

abc: 4.6796 4.6796 7.4220
angles: 71.62 71.62 60.00
With the nearest neighbours (Å) after each atom.
Element x y z (fractional)
K1 0.8116 0.8116 0.5652  3 In 3.58, 3 Pb 3.69
In1 0.5912 0.5912 0.2263  3 Au 2.83
Pb1 0.0238 0.0238 0.9285  3 Au 2.96
Au1 0.2992 0.2992 0.1025  3 In 2.83, 3 Pb 2.96

## Properties
calculated volume = 131.1 Å³ per cell
space group = R3m
crystal system = trigonal
total moment = 0.000 μB per cell
energy = -2.90 eV/atom